Record 1
Here is a relaxed structure of EuPdPb2 from Alexandria. Energies are from PBE.

a = 3.576 Å, b = 3.576 Å, c = 7.962 Å
α = 90.00°, β = 90.00°, γ = 90.00°
Sites, in units of the cell vectors:
Pb (0.000, 0.000, 0.795)
Pb (0.000, 0.000, 0.205)
Eu (0.500, 0.500, 0.500)
Pd (0.500, 0.500, 0.000)

As for the distance to the lowest polymorph of the same formula: 0.022 eV per atom. The value obtained for the calculated formation energy is -329 meV per atom.

***

Record 2
Here is a relaxed structure of CdCo2Rh from Alexandria. Energies are from PBE.

a = 3.872 Å, b = 3.829 Å, c = 3.829 Å
α = 90.00°, β = 90.00°, γ = 90.00°
Sites, in units of the cell vectors:
Cd (0.500, 0.000, 0.500)
Co (0.000, 0.000, 0.000)
Co (0.000, 0.500, 0.500)
Rh (0.500, 0.500, 0.000)

The value obtained for the calculated formation energy is 264 meV per atom.

***

Record 3
Here is a relaxed structure of YCr2W from Alexandria. Energies are from PBE.

a = 2.822 Å, b = 2.822 Å, c = 8.848 Å
α = 90.00°, β = 90.00°, γ = 111.34°
Sites, in units of the cell vectors:
Cr (0.000, 0.000, 0.030)
Cr (0.000, 0.000, 0.470)
W (0.500, 0.500, 0.250)
Y (0.500, 0.500, 0.750)

As for the distance to the lowest polymorph of the same formula: 0.222 eV per atom. The value obtained for the calculated formation energy is 598 meV per atom.

***

Record 4
Here is a relaxed structure of Na3Np3InSe8 from Alexandria. Energies are from PBE.

a = 8.322 Å, b = 8.322 Å, c = 8.487 Å
α = 119.37°, β = 90.00°, γ = 120.00°
Sites, in units of the cell vectors:
Na (0.000, 0.000, 0.000)
Na (0.000, 0.500, 0.000)
Na (0.500, 0.500, 0.000)
Np (0.500, 0.000, 0.500)
Np (0.500, 0.500, 0.500)
Np (0.000, 0.500, 0.500)
In (0.000, 0.000, 0.500)
Se (0.257, 0.514, 0.269)
Se (0.743, 0.486, 0.731)
Se (0.760, 0.519, 0.275)
Se (0.240, 0.481, 0.725)
Se (0.759, 0.015, 0.276)
Se (0.241, 0.985, 0.724)
Se (0.256, 0.015, 0.276)
Se (0.744, 0.985, 0.724)

The formation energy without anion corrections comes out at -1.1145 eV per atom.

***

Record 5
Here is a relaxed structure of MnIn2Fe from Alexandria. Energies are from PBE.

a = 3.211 Å, b = 3.211 Å, c = 6.951 Å
α = 90.00°, β = 90.00°, γ = 90.00°
Sites, in units of the cell vectors:
Fe (0.500, 0.500, 0.711)
In (0.000, 0.000, 0.947)
In (0.500, 0.500, 0.299)
Mn (0.000, 0.000, 0.543)

The value obtained for the calculated formation energy is 253 meV per atom.

***

Record 6
Here is a relaxed structure of TiCo23Ni6 from Alexandria. Energies are from PBE.

a = 7.862 Å, b = 7.862 Å, c = 7.862 Å
α = 60.00°, β = 60.00°, γ = 60.00°
Sites, in units of the cell vectors:
Ti (0.500, 0.500, 0.500)
Co (0.615, 0.128, 0.128)
Co (0.385, 0.872, 0.872)
Co (0.128, 0.128, 0.615)
Co (0.128, 0.128, 0.128)
Co (0.872, 0.872, 0.385)
Co (0.872, 0.872, 0.872)
Co (0.128, 0.615, 0.128)
Co (0.872, 0.385, 0.872)
Co (0.500, 0.500, 0.000)
Co (0.000, 0.000, 0.500)
Co (0.500, 0.000, 0.000)
Co (0.000, 0.500, 0.500)
Co (0.500, 0.000, 0.500)
Co (0.000, 0.500, 0.000)
Co (0.919, 0.360, 0.360)
Co (0.081, 0.640, 0.640)
Co (0.360, 0.360, 0.919)
Co (0.360, 0.360, 0.360)
Co (0.640, 0.640, 0.081)
Co (0.640, 0.640, 0.640)
Co (0.360, 0.919, 0.360)
Co (0.640, 0.081, 0.640)
Co (0.000, 0.000, 0.000)
Ni (0.742, 0.742, 0.258)
Ni (0.258, 0.258, 0.742)
Ni (0.742, 0.258, 0.258)
Ni (0.258, 0.742, 0.742)
Ni (0.742, 0.258, 0.742)
Ni (0.258, 0.742, 0.258)

The value obtained for the calculated formation energy is 114 meV per atom.

***

Record 7
Here is a relaxed structure of TlNi2Pb from Alexandria. Energies are from PBE.

a = 6.524 Å, b = 6.524 Å, c = 6.524 Å
α = 35.66°, β = 35.66°, γ = 35.66°
Sites, in units of the cell vectors:
Ni (0.966, 0.966, 0.966)
Ni (0.283, 0.283, 0.283)
Pb (0.530, 0.530, 0.530)
Tl (0.722, 0.722, 0.722)

The value obtained for the calculated formation energy is 231 meV per atom.

***

Record 8
Here is a relaxed structure of KSrNdBr6 from Alexandria. Energies are from PBE.

a = 7.807 Å, b = 7.807 Å, c = 14.115 Å
α = 90.00°, β = 90.00°, γ = 120.00°
Sites, in units of the cell vectors:
K (0.000, 0.000, 0.000)
K (0.000, 0.000, 0.500)
Sr (0.333, 0.667, 0.250)
Sr (0.667, 0.333, 0.750)
Nd (0.667, 0.333, 0.250)
Nd (0.333, 0.667, 0.750)
Br (0.643, 0.628, 0.132)
Br (0.985, 0.357, 0.132)
Br (0.357, 0.985, 0.632)
Br (0.015, 0.643, 0.868)
Br (0.372, 0.357, 0.368)
Br (0.985, 0.628, 0.368)
Br (0.628, 0.985, 0.868)
Br (0.643, 0.015, 0.368)
Br (0.015, 0.372, 0.632)
Br (0.372, 0.015, 0.132)
Br (0.628, 0.643, 0.632)
Br (0.357, 0.372, 0.868)

The formation energy without anion corrections comes out at -1.9463 eV per atom.

***

Record 9
Here is a relaxed structure of ZrCuW from Alexandria. Energies are from PBE.

a = 4.758 Å, b = 4.758 Å, c = 2.630 Å
α = 90.00°, β = 90.00°, γ = 120.00°
Sites, in units of the cell vectors:
Cu (0.000, 0.000, 0.164)
W (0.667, 0.333, 0.168)
Zr (0.333, 0.667, 0.667)

As for the distance to the lowest polymorph of the same formula: 0.151 eV per atom. The value obtained for the calculated formation energy is 350 meV per atom.

***

Record 10
Here is a relaxed structure of LaYNi4 from Alexandria. Energies are from PBE.

a = 5.150 Å, b = 5.150 Å, c = 5.150 Å
α = 60.00°, β = 60.00°, γ = 60.00°
Sites, in units of the cell vectors:
La (0.000, 0.000, 0.000)
Ni (0.127, 0.624, 0.624)
Ni (0.624, 0.624, 0.624)
Ni (0.624, 0.127, 0.624)
Ni (0.624, 0.624, 0.127)
Y (0.250, 0.250, 0.250)

The value obtained for the calculated formation energy is -356 meV per atom.